No. 1
Density functional theory data (PBE) for an optimized crystal structure of YHo6Tm2.

```
data_YHo6Tm2
_cell_length_a 3.5253
_cell_length_b 8.6164
_cell_length_c 9.3108
_cell_angle_alpha 90.01
_cell_angle_beta 100.84
_cell_angle_gamma 90.07
_symmetry_space_group_name_H-M 'P -1'
_symmetry_Int_Tables_number 2
loop_
_symmetry_equiv_pos_as_xyz
'x,y,z'
'-x,-y,-z'
loop_
_atom_site_label
_atom_site_fract_x
_atom_site_fract_y
_atom_site_fract_z
_atom_site_occupancy
Y1 0.0000 0.0000 0.0000 1
Ho1 0.1113 0.6665 0.2219 1
Ho2 0.2216 0.3339 0.4436 1
Ho3 0.3328 0.9996 0.6659 1
Tm1 0.4442 0.6649 0.8888 1
```

Results
The calculation puts the formation enthalpy at 0 K at 2.1 kJ per mole of atoms.

***

No. 2
Density functional theory data (PBE) for an optimized crystal structure of SrMg2TiO.

```
data_SrMg2TiO
_cell_length_a 5.2539
_cell_length_b 5.2539
_cell_length_c 6.3077
_cell_angle_alpha 90.00
_cell_angle_beta 90.00
_cell_angle_gamma 90.00
_symmetry_space_group_name_H-M 'P 4/m m m'
_symmetry_Int_Tables_number 123
_symmetry_space_group_name_Hall '-P 4 2'
loop_
_atom_site_label
_atom_site_fract_x
_atom_site_fract_y
_atom_site_fract_z
_atom_site_occupancy
Sr1 0.0000 0.0000 0.0000 1
Mg1 0.0000 0.5000 0.5000 1
Ti1 0.0000 0.0000 0.5000 1
O1 0.5000 0.5000 0.0000 1
```

Results
Its energy relative to the elements, uncorrected is 1.04 eV/atom.

***

No. 3
Density functional theory data (PBE) for an optimized crystal structure of Li4Pa3InN8.

```
data_Li4Pa3InN8
_cell_length_a 11.1379
_cell_length_b 6.8416
_cell_length_c 6.4425
_cell_angle_alpha 90.00
_cell_angle_beta 120.06
_cell_angle_gamma 90.00
_symmetry_space_group_name_H-M 'C 1 2/m 1'
_symmetry_Int_Tables_number 12
loop_
_symmetry_equiv_pos_as_xyz
'x,y,z'
'-x,-y,-z'
'-x,y,-z'
'x,-y,z'
'x+1/2,y+1/2,z'
'-x+1/2,-y+1/2,-z'
'-x+1/2,y+1/2,-z'
'x+1/2,-y+1/2,z'
loop_
_atom_site_label
_atom_site_fract_x
_atom_site_fract_y
_atom_site_fract_z
_atom_site_occupancy
Li1 0.0000 0.0000 0.0000 1
Li2 0.0000 0.5000 0.0000 1
Li3 0.2500 0.2500 0.5000 1
Pa1 0.0000 0.0000 0.5000 1
Pa2 0.2500 0.2500 0.0000 1
In1 0.0000 0.5000 0.5000 1
N1 0.0119 0.2395 0.7489 1
N2 0.2383 0.0000 0.7604 1
N3 0.2504 0.0000 0.2282 1
```

Results
Its energy relative to the elements, uncorrected is -0.81 eV/atom.

***

No. 4
Density functional theory data (PBE) for an optimized crystal structure of Ho2Re2C3.

```
data_Ho2Re2C3
_cell_length_a 11.7631
_cell_length_b 3.2655
_cell_length_c 5.6643
_cell_angle_alpha 90.00
_cell_angle_beta 113.75
_cell_angle_gamma 90.00
_symmetry_space_group_name_H-M 'C 1 2/m 1'
_symmetry_Int_Tables_number 12
loop_
_symmetry_equiv_pos_as_xyz
'x,y,z'
'-x,-y,-z'
'-x,y,-z'
'x,-y,z'
'x+1/2,y+1/2,z'
'-x+1/2,-y+1/2,-z'
'-x+1/2,y+1/2,-z'
'x+1/2,-y+1/2,z'
loop_
_atom_site_label
_atom_site_fract_x
_atom_site_fract_y
_atom_site_fract_z
_atom_site_occupancy
Ho1 0.1100 0.0000 0.3172 1
Re1 0.1550 0.5000 0.8220 1
C1 0.0000 0.5000 0.5000 1
C2 0.2471 0.5000 0.2337 1
```

Results
The calculation puts the formation enthalpy at 0 K at -33.5 kJ per mole of atoms.

***

No. 5
Density functional theory data (PBE) for an optimized crystal structure of RbVGeAs2.

```
data_RbVGeAs2
_cell_length_a 5.6038
_cell_length_b 5.6038
_cell_length_c 5.0451
_cell_angle_alpha 90.00
_cell_angle_beta 90.00
_cell_angle_gamma 90.00
_symmetry_space_group_name_H-M 'P 4/m m m'
_symmetry_Int_Tables_number 123
_symmetry_space_group_name_Hall '-P 4 2'
loop_
_atom_site_label
_atom_site_fract_x
_atom_site_fract_y
_atom_site_fract_z
_atom_site_occupancy
Rb1 0.0000 0.0000 0.0000 1
V1 0.0000 0.0000 0.5000 1
Ge1 0.5000 0.5000 0.5000 1
As1 0.0000 0.5000 0.0000 1
```

Results
The calculation puts the formation enthalpy at 0 K at 191.4 kJ per mole of atoms.

***

No. 6
Density functional theory data (PBE) for an optimized crystal structure of Sr4GaN3O.

```
data_Sr4GaN3O
_cell_length_a 7.4116
_cell_length_b 23.9165
_cell_length_c 7.4215
_cell_angle_alpha 90.00
_cell_angle_beta 90.00
_cell_angle_gamma 90.00
_symmetry_space_group_name_H-M 'P b c a'
_symmetry_Int_Tables_number 61
loop_
_symmetry_equiv_pos_as_xyz
'x,y,z'
'-x,-y,-z'
'-x+1/2,-y,z+1/2'
'x+1/2,y,-z+1/2'
'x+1/2,-y+1/2,-z'
'-x+1/2,y+1/2,z'
'-x,y+1/2,-z+1/2'
'x,-y+1/2,z+1/2'
loop_
_atom_site_label
_atom_site_fract_x
_atom_site_fract_y
_atom_site_fract_z
_atom_site_occupancy
Sr1 0.0290 0.0638 0.1416 1
Sr2 0.0429 0.7426 0.2408 1
Sr3 0.1302 0.5578 0.8474 1
Sr4 0.2034 0.1457 0.5171 1
Ga1 0.2139 0.1710 0.9916 1
N1 0.0613 0.1249 0.8459 1
N2 0.1297 0.6289 0.1485 1
N3 0.2090 0.2497 0.4987 1
O1 0.2429 0.5246 0.5304 1
```

Results
Its energy relative to the elements, uncorrected is -1.03 eV/atom.

***

No. 7
Density functional theory data (PBE) for an optimized crystal structure of LiCaCu2F8.

```
data_LiCaCu2F8
_cell_length_a 5.3910
_cell_length_b 5.3910
_cell_length_c 10.1810
_cell_angle_alpha 90.00
_cell_angle_beta 90.00
_cell_angle_gamma 90.00
_symmetry_space_group_name_H-M 'I -4'
_symmetry_Int_Tables_number 82
loop_
_symmetry_equiv_pos_as_xyz
'x,y,z'
'y,-x,-z'
'-x,-y,z'
'-y,x,-z'
'x+1/2,y+1/2,z+1/2'
'y+1/2,-x+1/2,-z+1/2'
'-x+1/2,-y+1/2,z+1/2'
'-y+1/2,x+1/2,-z+1/2'
loop_
_atom_site_label
_atom_site_fract_x
_atom_site_fract_y
_atom_site_fract_z
_atom_site_occupancy
Li1 0.0000 0.0000 0.0000 1
Ca1 0.0000 0.5000 0.7500 1
Cu1 0.0000 0.0000 0.5000 1
Cu2 0.0000 0.5000 0.2500 1
F1 0.1338 0.8054 0.2159 1
F2 0.1566 0.3003 0.5356 1
```

Results
Its energy relative to the elements, uncorrected is -2.22 eV/atom.

***

No. 8
Density functional theory data (PBE) for an optimized crystal structure of KMn5.

```
data_KMn5
_cell_length_a 6.7814
_cell_length_b 6.7814
_cell_length_c 2.7895
_cell_angle_alpha 90.00
_cell_angle_beta 90.00
_cell_angle_gamma 120.00
_symmetry_space_group_name_H-M 'P 6/m m m'
_symmetry_Int_Tables_number 191
_symmetry_space_group_name_Hall '-P 6 2'
loop_
_atom_site_label
_atom_site_fract_x
_atom_site_fract_y
_atom_site_fract_z
_atom_site_occupancy
K1 0.0000 0.0000 0.0000 1
Mn1 0.0000 0.5000 0.5000 1
Mn2 0.3333 0.6667 0.0000 1
```

Results
The calculation puts the formation enthalpy at 0 K at 62.6 kJ per mole of atoms.

***

No. 9
Density functional theory data (PBE) for an optimized crystal structure of NaCaPb2.

```
data_NaCaPb2
_cell_length_a 7.7956
_cell_length_b 7.8282
_cell_length_c 3.8556
_cell_angle_alpha 90.00
_cell_angle_beta 90.00
_cell_angle_gamma 90.00
_symmetry_space_group_name_H-M 'C m m m'
_symmetry_Int_Tables_number 65
_symmetry_space_group_name_Hall '-C 2 2'
loop_
_atom_site_label
_atom_site_fract_x
_atom_site_fract_y
_atom_site_fract_z
_atom_site_occupancy
Na1 0.0000 0.0000 0.0000 1
Ca1 0.0000 0.5000 0.0000 1
Pb1 0.2500 0.2500 0.5000 1
```

Results
The calculation puts the formation enthalpy at 0 K at -32.9 kJ per mole of atoms.

***

No. 10
Density functional theory data (PBE) for an optimized crystal structure of ZrTi3I.

```
data_ZrTi3I
_cell_length_a 5.0097
_cell_length_b 5.0097
_cell_length_c 5.0097
_cell_angle_alpha 90.00
_cell_angle_beta 90.00
_cell_angle_gamma 90.00
_symmetry_space_group_name_H-M 'P m -3 m'
_symmetry_Int_Tables_number 221
_symmetry_space_group_name_Hall '-P 4 2 3'
loop_
_atom_site_label
_atom_site_fract_x
_atom_site_fract_y
_atom_site_fract_z
_atom_site_occupancy
Zr1 0.0000 0.0000 0.0000 1
Ti1 0.0000 0.0000 0.5000 1
I1 0.5000 0.5000 0.5000 1
```

Results
Its energy relative to the elements, uncorrected is 1.19 eV/atom.

***

No. 11
Density functional theory data (PBE) for an optimized crystal structure of Ce5Sn3C.

```
data_Ce5Sn3C
_cell_length_a 9.3397
_cell_length_b 9.3397
_cell_length_c 6.3453
_cell_angle_alpha 90.00
_cell_angle_beta 90.00
_cell_angle_gamma 120.00
_symmetry_space_group_name_H-M 'P 63/m c m'
_symmetry_Int_Tables_number 193
_symmetry_space_group_name_Hall '-P 6c 2'
loop_
_atom_site_label
_atom_site_fract_x
_atom_site_fract_y
_atom_site_fract_z
_atom_site_occupancy
Ce1 0.0000 0.2155 0.2500 1
Ce2 0.3333 0.6667 0.0000 1
Sn1 0.0000 0.3988 0.7500 1
C1 0.0000 0.0000 0.0000 1
```

Results
The calculation puts the formation enthalpy at 0 K at -53.2 kJ per mole of atoms.

***

No. 12
Density functional theory data (PBE) for an optimized crystal structure of TaTl2Mo.

```
data_TaTl2Mo
_cell_length_a 3.3146
_cell_length_b 3.3146
_cell_length_c 8.2344
_cell_angle_alpha 90.00
_cell_angle_beta 90.00
_cell_angle_gamma 90.00
_symmetry_space_group_name_H-M 'P 4 m m'
_symmetry_Int_Tables_number 99
loop_
_symmetry_equiv_pos_as_xyz
'x,y,z'
'-y,x,z'
'-x,-y,z'
'y,-x,z'
'-x,y,z'
'y,x,z'
'x,-y,z'
'-y,-x,z'
loop_
_atom_site_label
_atom_site_fract_x
_atom_site_fract_y
_atom_site_fract_z
_atom_site_occupancy
Ta1 0.0000 0.0000 0.0000 1
Tl1 0.0000 0.0000 0.5940 1
Tl2 0.5000 0.5000 0.2726 1
Mo1 0.5000 0.5000 0.8493 1
```

Results
The calculation puts the formation enthalpy at 0 K at 44.6 kJ per mole of atoms.

***

For the records above, the corresponding final energy values read -4.741, -2.505, -7.403, -9.164, -2.816, -5.444, -4.476, -7.175, -3.025, -5.567, -6.207, -6.392 eV per atom.